! Nd2S3 (PBE-GGA, relaxed); values from VASP
! formation energy (no corrections)	-10.25	eV/f.u.
&SYSTEM
  ibrav = 0, nat = 40, ntyp = 2
/
ATOMIC_SPECIES
Nd 144.24 Nd.upf
S 32.06 S.upf
CELL_PARAMETERS angstrom
-4.3001 4.3001 12.8568
4.3001 -4.3001 12.8568
4.3001 4.3001 -12.8568
ATOMIC_POSITIONS angstrom
Nd 3.1097 2.2254 -5.4258
Nd 0.0000 0.0000 4.2515
Nd 6.3749 1.1904 1.0026
Nd 1.1904 2.2254 -1.0026
Nd 2.1501 -1.0308 9.6426
Nd 3.2694 2.1501 3.2142
Nd 2.1501 5.3309 -3.2142
Nd 1.1904 2.0748 7.4310
Nd 2.0748 -1.1904 18.2826
Nd 0.0000 4.3001 2.1769
Nd 3.1097 2.0748 11.8542
Nd 0.0000 0.0000 21.4621
Nd 2.2254 5.4906 5.4258
Nd 1.0308 2.1501 16.0710
Nd -2.0748 3.1097 13.8595
Nd 0.0000 4.3001 10.6800
S 7.0853 0.6126 -1.7183
S 2.7414 -0.6310 3.7281
S 4.9311 -1.5588 9.1287
S 1.4577 -0.6929 6.8451
S 3.6073 1.4577 0.4167
S 3.6692 2.7414 -2.7003
S 5.8589 0.6310 3.7281
S 0.6126 1.5150 1.7183
S 2.8425 4.9930 -6.0117
S 2.8425 -0.6929 12.4401
S 0.6126 2.7852 4.7101
S 1.5588 -0.6310 15.5571
S 3.6692 1.5588 9.1287
S 1.4577 4.9930 -0.4167
S 3.6073 2.8425 6.0117
S 0.6310 1.5588 10.1566
S 2.7414 4.9311 2.7003
S -1.5150 3.6875 8.1468
S 0.6929 2.8425 13.2735
S -0.6126 5.8151 4.7101
S -2.7852 3.6875 11.1385
S 1.5150 4.9127 8.1468
S 3.6875 2.7852 14.5752
S 0.6929 1.4577 18.8685

! NdS4 (PBE-GGA, relaxed); values from VASP
! energy relative to the lowest polymorph listed for this composition	343	kJ/mol of formula units
! formation energy (no corrections)	1.40	eV/f.u.
&SYSTEM
  ibrav = 0, nat = 5, ntyp = 2
/
ATOMIC_SPECIES
Nd 144.24 Nd.upf
S 32.06 S.upf
CELL_PARAMETERS angstrom
5.5438 0.0000 0.0000
0.0000 5.5438 0.0000
0.0000 0.0000 5.5438
ATOMIC_POSITIONS angstrom
Nd 0.0000 0.0000 0.0000
S 0.0000 0.0000 2.7719
S 0.0000 2.7719 0.0000
S 2.7719 0.0000 0.0000
S 2.7719 2.7719 2.7719

! Nd4S5 (PBE-GGA, relaxed); values from VASP
! formation energy (no corrections)	-11.62	eV/f.u.
&SYSTEM
  ibrav = 0, nat = 9, ntyp = 2
/
ATOMIC_SPECIES
Nd 144.24 Nd.upf
S 32.06 S.upf
CELL_PARAMETERS angstrom
-6.3763 6.3763 1.8080
6.3763 -6.3763 1.8080
6.3763 6.3763 -1.8080
ATOMIC_POSITIONS angstrom
Nd 1.7832 1.7832 0.0000
Nd 4.5930 -4.5930 1.8080
Nd -4.5930 4.5930 1.8080
Nd 4.5930 4.5930 1.8080
S 6.3763 3.1934 0.0000
S 3.1934 6.3763 0.0000
S 0.0000 0.0000 1.8080
S 3.1829 0.0000 1.8080
S 0.0000 3.1829 1.8080

! Nd2S3 (PBE-GGA, relaxed); values from VASP
! formation energy (no corrections)	-10.32	eV/f.u.
&SYSTEM
  ibrav = 0, nat = 20, ntyp = 2
/
ATOMIC_SPECIES
Nd 144.24 Nd.upf
S 32.06 S.upf
CELL_PARAMETERS angstrom
7.5124 0.0000 0.0000
0.0000 4.0581 0.0000
0.0000 0.0000 15.6795
ATOMIC_POSITIONS angstrom
Nd 1.0885 1.0145 3.2042
Nd 1.7678 3.0436 7.1499
Nd 1.9884 1.0145 14.9896
Nd 2.6677 3.0436 11.0439
Nd 4.8447 1.0145 4.6355
Nd 5.5240 3.0436 0.6899
Nd 5.7446 1.0145 8.5296
Nd 6.4239 3.0436 12.4753
S 0.0727 1.0145 6.1288
S 0.9463 3.0436 1.0577
S 1.0936 1.0145 12.2476
S 2.6626 3.0436 4.4078
S 2.8099 1.0145 8.8975
S 3.6835 3.0436 13.9685
S 3.8289 1.0145 1.7110
S 4.7025 3.0436 6.7820
S 4.8498 1.0145 11.2717
S 6.4189 3.0436 3.4319
S 6.5662 1.0145 14.6218
S 7.4398 3.0436 9.5507

! Nd3Sb2S (PBE-GGA, relaxed); values from VASP
! energy relative to the lowest polymorph listed for this composition	4	kJ/mol of formula units
! formation energy (no corrections)	-8.59	eV/f.u.
&SYSTEM
  ibrav = 0, nat = 6, ntyp = 3
/
ATOMIC_SPECIES
Nd 144.24 Nd.upf
Sb 121.76 Sb.upf
S 32.06 S.upf
CELL_PARAMETERS angstrom
-2.1875 3.1220 6.5615
2.1875 -3.1220 6.5615
2.1875 3.1220 -6.5615
ATOMIC_POSITIONS angstrom
Nd 0.0000 0.0000 0.0000
Nd 0.0000 0.0000 4.5299
Nd 0.0000 0.0000 8.5931
Sb 2.1875 0.0000 2.2468
Sb 0.0000 3.1220 4.3147
S 0.0000 3.1220 0.0000

! Nd4SbS2 (PBE-GGA, relaxed); values from VASP
! formation energy (no corrections)	-10.53	eV/f.u.
&SYSTEM
  ibrav = 0, nat = 14, ntyp = 3
/
ATOMIC_SPECIES
Nd 144.24 Nd.upf
Sb 121.76 Sb.upf
S 32.06 S.upf
CELL_PARAMETERS angstrom
2.1057 -6.7401 0.0000
2.1057 6.7401 0.0000
0.0000 0.0000 13.7798
ATOMIC_POSITIONS angstrom
Nd 0.0000 0.0000 0.0000
Nd 0.0000 0.0000 6.8899
Nd 2.1057 3.1624 8.4798
Nd 2.1057 3.1624 12.1899
Nd 2.1057 0.8330 3.4449
Nd 2.1057 -0.8330 10.3348
Nd 2.1057 -3.1624 1.5899
Nd 2.1057 -3.1624 5.3000
Sb 2.1057 5.2464 3.4449
Sb 2.1057 -5.2464 10.3348
S 2.1057 1.7868 0.8310
S 2.1057 1.7868 6.0589
S 2.1057 -1.7868 7.7209
S 2.1057 -1.7868 12.9488

! NdSbS4 (PBE-GGA, relaxed); values from VASP
! formation energy (no corrections)	-4.98	eV/f.u.
&SYSTEM
  ibrav = 0, nat = 12, ntyp = 3
/
ATOMIC_SPECIES
Nd 144.24 Nd.upf
Sb 121.76 Sb.upf
S 32.06 S.upf
CELL_PARAMETERS angstrom
6.4181 -3.5361 0.0000
6.4181 3.5361 0.0000
-2.9933 0.0000 6.4715
ATOMIC_POSITIONS angstrom
Nd 4.1732 2.1475 4.8536
Nd 5.6698 -2.1475 1.6179
Sb 3.2091 1.7681 0.0000
Sb 1.7124 -1.7681 3.2357
S 0.0187 0.2074 4.1776
S 1.5153 -0.2074 0.9419
S 2.5120 0.0289 5.9318
S 4.0087 -0.0289 2.6961
S 5.8343 0.0289 3.7753
S 7.3309 -0.0289 0.5396
S 8.3277 0.2074 5.5295
S 9.8243 -0.2074 2.2938

! Nd8SbS6 (PBE-GGA, relaxed); values from VASP
! formation energy (no corrections)	-23.97	eV/f.u.
&SYSTEM
  ibrav = 0, nat = 15, ntyp = 3
/
ATOMIC_SPECIES
Nd 144.24 Nd.upf
Sb 121.76 Sb.upf
S 32.06 S.upf
CELL_PARAMETERS angstrom
10.5324 0.0000 0.0000
-5.2662 9.1213 0.0000
0.0000 0.0000 4.1387
ATOMIC_POSITIONS angstrom
Nd -1.4067 3.0617 1.0540
Nd -1.9114 8.8087 1.0540
Nd 0.0000 6.0809 3.0971
Nd 1.9481 2.7491 3.0847
Nd 3.3181 6.3723 1.0540
Nd 5.2662 3.0404 1.0415
Nd 7.1776 0.3126 3.0847
Nd 6.6729 6.0597 3.0847
Sb 0.0000 0.0000 2.0693
S -2.0103 5.9541 1.0279
S 1.1150 4.4033 1.0279
S 4.3709 1.2361 3.1107
S 0.8953 7.8852 1.0279
S 4.1512 4.7180 3.1107
S 7.2765 3.1672 3.1107

! Nd2SbS (PBE-GGA, relaxed); values from VASP
! energy relative to the lowest polymorph listed for this composition	1	kJ/mol of formula units
! formation energy (no corrections)	-6.27	eV/f.u.
&SYSTEM
  ibrav = 0, nat = 12, ntyp = 3
/
ATOMIC_SPECIES
Nd 144.24 Nd.upf
Sb 121.76 Sb.upf
S 32.06 S.upf
CELL_PARAMETERS angstrom
4.3072 0.0000 0.0000
-2.1536 3.7301 0.0000
0.0000 0.0000 20.9863
ATOMIC_POSITIONS angstrom
Nd 0.0000 0.0000 4.7010
Nd 0.0000 0.0000 16.2854
Nd 0.0000 2.4868 8.5617
Nd 0.0000 2.4868 19.4666
Nd 2.1536 1.2434 1.5198
Nd 2.1536 1.2434 12.4247
Sb 0.0000 0.0000 10.4932
Sb 0.0000 2.4868 14.3689
Sb 2.1536 1.2434 6.6174
S 0.0000 0.0000 0.0000
S 0.0000 2.4868 3.1197
S 2.1536 1.2434 17.8666

! Nd2Sb2S7 (PBE-GGA, relaxed); values from VASP
! formation energy (no corrections)	-8.93	eV/f.u.
&SYSTEM
  ibrav = 0, nat = 11, ntyp = 3
/
ATOMIC_SPECIES
Nd 144.24 Nd.upf
Sb 121.76 Sb.upf
S 32.06 S.upf
CELL_PARAMETERS angstrom
-1.9654 7.2750 4.5550
1.9654 -7.2750 4.5550
1.9654 7.2750 -4.5550
ATOMIC_POSITIONS angstrom
Nd 0.0000 0.0000 0.0000
Nd 0.0000 7.2750 0.3186
Sb 1.9654 -3.7445 3.4273
Sb 1.9654 3.7445 3.4273
S 1.9654 0.0000 1.9847
S 0.0000 2.5686 1.1503
S 1.9654 5.2599 -0.1094
S 0.0000 2.0151 4.4456
S 0.0000 5.7079 2.9092
S 0.0000 8.8421 2.9092
S 0.0000 11.9813 1.1503

! Nd3SbS2 (PBE-GGA, relaxed); values from VASP
! energy relative to the lowest polymorph listed for this composition	130	kJ/mol of formula units
! formation energy (no corrections)	-6.65	eV/f.u.
&SYSTEM
  ibrav = 0, nat = 12, ntyp = 3
/
ATOMIC_SPECIES
Nd 144.24 Nd.upf
Sb 121.76 Sb.upf
S 32.06 S.upf
CELL_PARAMETERS angstrom
5.5331 -5.6593 0.0000
5.5331 5.6593 0.0000
0.0000 0.0000 6.6636
ATOMIC_POSITIONS angstrom
Nd 5.5331 4.4600 4.9977
Nd 3.7802 0.9870 4.9977
Nd 3.7802 -0.9870 1.6659
Nd 7.2860 0.9870 4.9977
Nd 7.2860 -0.9870 1.6659
Nd 5.5331 -4.4600 1.6659
Sb 5.5331 1.6512 1.6659
Sb 5.5331 -1.6512 4.9977
S 1.8369 0.0000 0.0000
S 1.8369 0.0000 3.3318
S 9.2292 0.0000 0.0000
S 9.2292 0.0000 3.3318

! Nd4Sb3S (PBE-GGA, relaxed); values from VASP
! formation energy (no corrections)	-10.94	eV/f.u.
&SYSTEM
  ibrav = 0, nat = 8, ntyp = 3
/
ATOMIC_SPECIES
Nd 144.24 Nd.upf
Sb 121.76 Sb.upf
S 32.06 S.upf
CELL_PARAMETERS angstrom
4.4279 -6.2541 0.0000
4.4279 6.2541 0.0000
0.0000 0.0000 4.4253
ATOMIC_POSITIONS angstrom
Nd 2.1207 0.0000 2.2126
Nd 4.4279 3.2039 0.0000
Nd 4.4279 -3.2039 0.0000
Nd 6.7352 0.0000 2.2126
Sb 2.2140 3.1270 2.2126
Sb 2.2140 -3.1270 2.2126
Sb 4.4279 0.0000 0.0000
S 0.0000 0.0000 0.0000

| no. | density (g/cm³) |
| --- | --- |
| 1 | 5.4 |
| 2 | 2.7 |
| 3 | 4.2 |
| 4 | 5.3 |
| 5 | 6.6 |
| 6 | 6.5 |
| 7 | 4.5 |
| 8 | 6.1 |
| 9 | 6.5 |
| 10 | 4.8 |
| 11 | 4.9 |
| 12 | 6.6 |